1.
! SrMgIn2, optimized geometry, DFT PBE; values from VASP
&SYSTEM
  ibrav = 0, nat = 4, ntyp = 3
/
ATOMIC_SPECIES
In 114.82 In.upf
Sr 87.62 Sr.upf
Mg 24.30 Mg.upf
ATOMIC_POSITIONS angstrom
In 0.0000 0.7199 0.0088
In 2.4434 0.6961 1.7765
Sr 2.4434 4.4655 5.0802
Mg 0.0000 2.5938 2.7029
CELL_PARAMETERS angstrom
4.8868 0.0000 0.0000
0.0000 3.8372 0.0455
0.0000 1.8131 6.3334
! * energy of formation: -0.221 eV/atom
! * density of states at the Fermi level: 0.389 states/eV/atom
! * size of the total moment: 0.000 Bohr magnetons per cell
! * crystal system: monoclinic
! * SG: No. 6


2.
! Tb4Pm3Er5, optimized geometry, DFT PBE; values from VASP
&SYSTEM
  ibrav = 0, nat = 12, ntyp = 3
/
ATOMIC_SPECIES
Tb 158.93 Tb.upf
Er 167.26 Er.upf
Pm 145.00 Pm.upf
ATOMIC_POSITIONS angstrom
Tb 0.1322 1.7823 0.0500
Tb 4.8383 3.0868 3.8146
Tb 1.1200 -0.1860 2.8582
Tb 5.8261 1.1184 6.6228
Er 3.5834 1.4892 0.8752
Er 2.5842 3.4374 -1.9149
Er 3.3741 -0.5366 8.5877
Er 2.3749 1.4115 5.7976
Er 5.5630 -2.4110 6.5061
Pm 4.5724 -0.4631 3.6988
Pm 1.3859 3.3638 2.9740
Pm 2.1154 -2.1258 5.6720
CELL_PARAMETERS angstrom
6.8953 -0.5705 1.6682
-5.1678 7.7228 -6.3394
4.2308 -4.2516 11.3440
! * energy of formation: 0.017 eV/atom
! * density of states at the Fermi level: 1.285 states/eV/atom
! * size of the total moment: 0.030 Bohr magnetons per cell
! * crystal system: triclinic
! * SG: No. 2


3.
! PmDy6Er2, optimized geometry, DFT PBE; values from VASP
&SYSTEM
  ibrav = 0, nat = 9, ntyp = 3
/
ATOMIC_SPECIES
Dy 162.50 Dy.upf
Er 167.26 Er.upf
Pm 145.00 Pm.upf
ATOMIC_POSITIONS angstrom
Dy -6.2676 1.7610 2.3256
Dy -4.0319 2.7550 0.2135
Dy -7.2828 -1.4904 2.9196
Dy -9.9829 -2.9184 1.8622
Dy -6.7320 1.3270 -0.8440
Dy -7.7472 -1.9244 -0.2500
Er -9.6702 0.5415 1.3426
Er -4.3446 -0.7049 0.7330
Pm 0.0000 0.0000 0.0000
CELL_PARAMETERS angstrom
-2.7121 5.3834 -0.3398
-6.1832 -3.2705 -2.4226
-5.1195 -2.2763 4.8380
! * energy of formation: 0.239 eV/atom
! * density of states at the Fermi level: 1.539 states/eV/atom
! * size of the total moment: 0.014 Bohr magnetons per cell
! * crystal system: trigonal
! * SG: No. 164
! * ΔE to the lowest computed polymorph: 192.1 kJ/mol of formula units


4.
! Pm6YEr2, optimized geometry, DFT PBE; values from VASP
&SYSTEM
  ibrav = 0, nat = 18, ntyp = 3
/
ATOMIC_SPECIES
Pm 145.00 Pm.upf
Y 88.91 Y.upf
Er 167.26 Er.upf
ATOMIC_POSITIONS angstrom
Pm -6.8833 -13.2898 -2.9829
Pm -1.6130 -3.4761 -4.3456
Pm -7.0110 -9.4499 -5.6644
Pm -8.9826 -9.3676 -2.2869
Pm -1.7559 -1.8390 -1.3746
Pm -2.8313 -9.6276 -3.5529
Pm -6.0464 -3.0783 -0.8002
Pm -1.4852 -7.3160 -1.6641
Pm -6.7404 -14.9269 -5.9538
Pm -2.4498 -13.6876 -6.5282
Pm -5.6649 -7.1383 -3.7756
Pm 0.4863 -7.3983 -5.0416
Y -0.5076 -10.7420 -5.8792
Y -7.9886 -6.0239 -1.4493
Er -5.0381 -12.0800 -5.3257
Er -5.8095 -10.1790 -2.2298
Er -3.4581 -4.6859 -2.0028
Er -2.6867 -6.5870 -5.0987
CELL_PARAMETERS angstrom
-2.0517 -2.2930 -5.4771
3.4254 -10.0275 -2.2474
-9.8700 -4.4454 0.3961
! * energy of formation: 0.206 eV/atom
! * density of states at the Fermi level: 1.421 states/eV/atom
! * size of the total moment: 0.000 Bohr magnetons per cell
! * crystal system: monoclinic
! * SG: No. 15
! * ΔE to the lowest computed polymorph: 162.5 kJ/mol of formula units


5.
! Re3IrRh, optimized geometry, DFT PBE; values from VASP
&SYSTEM
  ibrav = 0, nat = 5, ntyp = 3
/
ATOMIC_SPECIES
Re 186.21 Re.upf
Rh 102.91 Rh.upf
Ir 192.22 Ir.upf
ATOMIC_POSITIONS angstrom
Re -0.0503 -2.0936 1.0199
Re -2.3279 0.0746 0.0383
Re 0.0671 1.0184 2.0939
Rh -2.3111 -1.0007 3.1521
Ir 0.0000 0.0000 0.0000
CELL_PARAMETERS angstrom
-4.6557 0.1492 0.0766
-0.1006 -4.1873 2.0397
0.1342 2.0367 4.1878
! * energy of formation: 2.311 eV/atom
! * density of states at the Fermi level: 1.477 states/eV/atom
! * size of the total moment: 0.000 Bohr magnetons per cell
! * crystal system: cubic
! * SG: No. 221
! * ΔE to the lowest computed polymorph: 0.0 kJ/mol of formula units


6.
! Cd2AgMo, optimized geometry, DFT PBE; values from VASP
&SYSTEM
  ibrav = 0, nat = 4, ntyp = 3
/
ATOMIC_SPECIES
Cd 112.41 Cd.upf
Ag 107.87 Ag.upf
Mo 95.94 Mo.upf
ATOMIC_POSITIONS angstrom
Cd 0.1133 0.0163 0.0096
Cd 7.3553 1.0610 0.6211
Ag 22.6283 3.2641 1.9107
Mo 14.9533 2.1570 1.2626
CELL_PARAMETERS angstrom
10.2891 0.0089 0.0052
9.8721 2.8993 0.0052
9.8721 1.4241 2.5255
! * energy of formation: 0.319 eV/atom
! * density of states at the Fermi level: 0.691 states/eV/atom
! * size of the total moment: 0.001 Bohr magnetons per cell
! * crystal system: trigonal
! * SG: No. 160
! * ΔE to the lowest computed polymorph: 34.2 kJ/mol of formula units


7.
! Ag3W, optimized geometry, DFT PBE; values from VASP
&SYSTEM
  ibrav = 0, nat = 4, ntyp = 2
/
ATOMIC_SPECIES
Ag 107.87 Ag.upf
W 183.84 W.upf
ATOMIC_POSITIONS angstrom
Ag 0.0000 0.0000 0.0000
Ag -0.8061 2.4666 1.3543
Ag 2.5950 -0.0109 1.3543
W 1.7889 2.4558 0.0000
CELL_PARAMETERS angstrom
5.1900 -0.0218 0.0000
-1.6121 4.9333 0.0000
0.0000 0.0000 2.7087
! * energy of formation: 0.624 eV/atom
! * density of states at the Fermi level: 0.691 states/eV/atom
! * size of the total moment: 0.000 Bohr magnetons per cell
! * crystal system: orthorhombic
! * SG: No. 65
! * ΔE to the lowest computed polymorph: 90.5 kJ/mol of formula units


8.
! ZnFe2Cl, optimized geometry, DFT PBE; values from VASP
&SYSTEM
  ibrav = 0, nat = 4, ntyp = 3
/
ATOMIC_SPECIES
Zn 65.41 Zn.upf
Fe 55.84 Fe.upf
Cl 35.45 Cl.upf
ATOMIC_POSITIONS angstrom
Zn 4.6684 2.1425 0.0000
Fe 4.0868 0.0105 1.1886
Fe 0.0745 0.0342 0.0000
Cl 1.5997 1.6503 1.1875
CELL_PARAMETERS angstrom
6.0892 0.0132 0.0011
3.9804 4.6081 -0.0011
-4.6751 -3.0945 2.3762
! * density of states at the Fermi level: 0.781 states/eV/atom
! * size of the total moment: 5.392 Bohr magnetons per cell
! * crystal system: orthorhombic
! * SG: No. 44
! * ΔE to the lowest computed polymorph: 66.2 kJ/mol of formula units
! * energy relative to the elements, uncorrected: 239 meV/atom


9.
! KMg5, optimized geometry, DFT PBE; values from VASP
&SYSTEM
  ibrav = 0, nat = 6, ntyp = 2
/
ATOMIC_SPECIES
Mg 24.30 Mg.upf
K 39.10 K.upf
ATOMIC_POSITIONS angstrom
Mg 3.1406 0.0000 2.5758
Mg 1.5703 -2.7198 2.5758
Mg 3.1406 -1.8132 0.0000
Mg 3.1406 1.8132 0.0000
Mg 1.5703 2.7198 2.5758
K 0.0000 0.0000 0.0000
CELL_PARAMETERS angstrom
3.1406 -5.4397 0.0000
3.1406 5.4397 0.0000
0.0000 0.0000 5.1517
! * energy of formation: 0.109 eV/atom
! * density of states at the Fermi level: 0.646 states/eV/atom
! * size of the total moment: 0.000 Bohr magnetons per cell
! * crystal system: hexagonal
! * SG: No. 191
! * ΔE to the lowest computed polymorph: 0.5 kJ/mol of formula units


10.
! TlTeRh2, optimized geometry, DFT PBE; values from VASP
&SYSTEM
  ibrav = 0, nat = 4, ntyp = 3
/
ATOMIC_SPECIES
Rh 102.91 Rh.upf
Tl 204.38 Tl.upf
Te 127.60 Te.upf
ATOMIC_POSITIONS angstrom
Rh 0.7332 -2.9027 -0.6931
Rh 1.0776 -4.3101 4.1588
Tl 1.3036 -5.1840 1.5082
Te 0.4510 -1.8037 1.7404
CELL_PARAMETERS angstrom
-2.0445 -2.3140 -1.8684
2.9046 -1.0663 -1.8578
1.0821 -4.3281 4.1762
! * density of states at the Fermi level: 0.827 states/eV/atom
! * size of the total moment: 0.000 Bohr magnetons per cell
! * crystal system: tetragonal
! * SG: No. 99
! * ΔE to the lowest computed polymorph: 0.0 kJ/mol of formula units
! * energy relative to the elements, uncorrected: -14 meV/atom


11.
! Sm4RuI5, optimized geometry, DFT PBE; values from VASP
&SYSTEM
  ibrav = 0, nat = 10, ntyp = 3
/
ATOMIC_SPECIES
Sm 150.36 Sm.upf
I 126.90 I.upf
Ru 101.07 Ru.upf
ATOMIC_POSITIONS angstrom
Sm 0.0000 7.3018 -0.3556
Sm 0.0000 7.2802 6.5098
Sm 2.1027 0.1707 2.6495
Sm 2.1027 0.1491 9.5149
I 2.1027 0.3937 6.1890
I 0.0000 2.5386 3.0738
I 2.1027 4.9123 6.0855
I 2.1027 4.6122 -0.2261
I 0.0000 7.0572 2.9703
Ru 2.1027 0.0000 0.0000
CELL_PARAMETERS angstrom
4.2055 0.0000 0.0000
0.0000 9.2245 -0.4521
-2.1027 -1.7736 9.6114
! * density of states at the Fermi level: 0.564 states/eV/atom
! * size of the total moment: 0.002 Bohr magnetons per cell
! * crystal system: monoclinic
! * SG: No. 12
! * energy relative to the elements, uncorrected: -1081 meV/atom


12.
! P2PtPb, optimized geometry, DFT PBE; values from VASP
&SYSTEM
  ibrav = 0, nat = 4, ntyp = 3
/
ATOMIC_SPECIES
P 30.97 P.upf
Pt 195.08 Pt.upf
Pb 207.20 Pb.upf
ATOMIC_POSITIONS angstrom
P 1.6263 1.6263 1.0488
P 0.0000 0.0000 0.1057
Pt 1.6263 1.6263 5.8686
Pb 0.0000 0.0000 3.8853
CELL_PARAMETERS angstrom
3.2526 0.0000 0.0000
0.0000 3.2526 0.0000
0.0000 0.0000 7.2723
! * energy of formation: 0.136 eV/atom
! * density of states at the Fermi level: 0.359 states/eV/atom
! * size of the total moment: 0.000 Bohr magnetons per cell
! * crystal system: tetragonal
! * SG: No. 99


13.
! MnHg2Pd8, optimized geometry, DFT PBE; values from VASP
&SYSTEM
  ibrav = 0, nat = 11, ntyp = 3
/
ATOMIC_SPECIES
Pd 106.42 Pd.upf
Mn 54.94 Mn.upf
Hg 200.59 Hg.upf
ATOMIC_POSITIONS angstrom
Pd 5.3309 5.8500 5.1073
Pd 3.2568 3.9911 3.9485
Pd 2.2011 3.0947 0.0000
Pd 4.3654 2.4097 1.3858
Pd 4.3126 4.8876 0.0000
Pd 4.2222 7.4314 2.5446
Pd 3.1136 9.0128 5.1073
Pd 2.1482 5.5725 1.3858
Mn 2.2914 0.5508 0.0000
Hg 1.9308 6.8807 3.9311
Hg 0.9654 3.4403 2.5620
CELL_PARAMETERS angstrom
4.5828 1.1015 0.0000
1.9308 6.8807 0.0000
0.9654 3.4403 6.4931
! * energy of formation: 0.030 eV/atom
! * density of states at the Fermi level: 1.072 states/eV/atom
! * size of the total moment: 4.756 Bohr magnetons per cell
! * crystal system: monoclinic
! * SG: No. 12
! * ΔE to the lowest computed polymorph: 94.8 kJ/mol of formula units